## P
NiMoIN2 | Alexandria via LeMat-Bulk | PBE | relaxed; calculated volume = 17.6 A^3/atom; DOS(E_F) = 0.96 states/eV per atom
1.0
3.871 0.000 0.000
0.000 3.871 0.000
0.000 0.000 5.867
Ni Mo I N
1 1 1 2
direct
0.000 0.000 0.000
0.500 0.500 0.500
0.500 0.500 0.000
0.000 0.500 0.500
0.500 0.000 0.500



## Q
NiMoIN2 | Alexandria via LeMat-Bulk | PBE | relaxed; calculated volume = 16.0 A^3/atom; DOS(E_F) = 0.48 states/eV per atom
1.0
3.880 0.000 0.000
0.000 3.880 0.000
0.000 0.000 5.327
Ni Mo I N
1 1 1 2
direct
0.000 0.000 0.000
0.500 0.500 0.500
0.000 0.000 0.500
0.000 0.500 0.000
0.500 0.000 0.000



Stability check: which of them is most stable? P.